No. 1
A plane-wave DFT calculation with PBE-GGA was carried out for an optimized crystal structure of MoP3S.

## Properties
Its volume is 16.54 Å³/atom. The space group is Pm-3m. The calculation puts the uncorrected formation energy at 5.38 eV per formula unit. Its energy above the most stable polymorph in this dataset is 419 meV per atom.

```
MoP3S
1.0
4.357 0.000 0.000
0.000 4.357 0.000
0.000 0.000 4.357
P Mo S
3 1 1
Direct
0.000 0.500 0.000 P
0.000 0.000 0.500 P
0.500 0.000 0.000 P
0.500 0.500 0.500 Mo
0.000 0.000 0.000 S
```


No. 2
A plane-wave DFT calculation with PBE-GGA was carried out for an optimized crystal structure of Mo2PS.

## Properties
Its volume is 17.72 Å³/atom. The space group is I-42d. The calculation puts the uncorrected formation energy at 0.18 eV per formula unit. Its energy above the most stable polymorph in this dataset is 269 meV per atom.

```
Mo2PS
1.0
-0.791 -4.221 1.475
-0.284 -1.448 -4.295
6.218 -4.106 -1.428
P Mo S
2 4 2
Direct
0.500 0.500 0.000 P
0.250 0.750 0.500 P
0.637 0.125 0.250 Mo
0.113 0.625 0.250 Mo
0.375 0.363 0.750 Mo
0.875 0.887 0.750 Mo
0.000 0.000 0.000 S
0.750 0.250 0.500 S
```


No. 3
A plane-wave DFT calculation with PBE-GGA was carried out for an optimized crystal structure of MoP2S6.

## Properties
Its volume is 20.20 Å³/atom. The space group is C2/c. The calculation puts the uncorrected formation energy at -0.95 eV per formula unit.

```
MoP2S6
1.0
5.721 -0.080 -0.078
1.520 7.980 0.417
1.520 0.675 7.962
Mo P S
2 4 12
Direct
0.250 0.053 0.947 Mo
0.750 0.947 0.053 Mo
0.204 0.599 0.788 P
0.296 0.212 0.401 P
0.796 0.401 0.212 P
0.704 0.788 0.599 P
0.393 0.706 0.551 S
0.107 0.449 0.294 S
0.607 0.294 0.449 S
0.893 0.551 0.706 S
0.878 0.872 0.373 S
0.622 0.627 0.128 S
0.122 0.128 0.627 S
0.378 0.373 0.872 S
0.140 0.785 0.996 S
0.360 0.004 0.215 S
0.860 0.215 0.004 S
0.640 0.996 0.785 S
```


No. 4
A plane-wave DFT calculation with PBE-GGA was carried out for an optimized crystal structure of MoP3S.

## Properties
Its volume is 20.16 Å³/atom. The space group is Pm-3m. The calculation puts the uncorrected formation energy at 3.29 eV per formula unit. Its energy above the most stable polymorph in this dataset is 0 meV per atom.

```
MoP3S
1.0
-0.544 -0.461 4.599
3.916 -2.506 0.212
2.455 3.894 0.681
P Mo S
3 1 1
Direct
0.000 0.500 0.000 P
0.000 0.000 0.500 P
0.500 0.000 0.000 P
0.000 0.000 0.000 Mo
0.500 0.500 0.500 S
```


No. 5
A plane-wave DFT calculation with PBE-GGA was carried out for an optimized crystal structure of MoPS2.

## Properties
Its volume is 17.51 Å³/atom. The space group is R-3m. The calculation puts the uncorrected formation energy at -0.26 eV per formula unit.

```
MoPS2
1.0
1.152 -8.007 1.688
4.029 -7.186 0.646
3.229 -6.664 3.667
P Mo S
1 1 2
Direct
0.000 0.000 0.000 P
0.500 0.500 0.500 Mo
0.900 0.900 0.900 S
0.100 0.100 0.100 S
```


No. 6
A plane-wave DFT calculation with PBE-GGA was carried out for an optimized crystal structure of Mo2PS.

## Properties
Its volume is 13.67 Å³/atom. The space group is Fm-3m. The calculation puts the uncorrected formation energy at -0.89 eV per formula unit. Its energy above the most stable polymorph in this dataset is 0 meV per atom.

```
Mo2PS
1.0
0.000 3.013 3.013
3.013 0.000 3.013
3.013 3.013 0.000
P Mo S
1 2 1
Direct
0.000 0.000 0.000 P
0.250 0.250 0.250 Mo
0.750 0.750 0.750 Mo
0.500 0.500 0.500 S
```


No. 7
A plane-wave DFT calculation with PBE-GGA was carried out for an optimized crystal structure of SbMoP2S.

## Properties
Its volume is 24.38 Å³/atom. The space group is P4/mmm. The calculation puts the uncorrected formation energy at 7.17 eV per formula unit. Its energy above the most stable polymorph in this dataset is 1001 meV per atom.

```
SbMoP2S
1.0
4.990 0.000 0.000
0.000 4.990 0.000
0.000 0.000 4.895
Sb Mo S P
1 1 1 2
Direct
0.000 0.000 0.000 Sb
0.500 0.500 0.500 Mo
0.000 0.000 0.500 S
0.000 0.500 0.000 P
0.500 0.000 0.000 P
```


No. 8
A plane-wave DFT calculation with PBE-GGA was carried out for an optimized crystal structure of SbMoP2S.

## Properties
Its volume is 25.42 Å³/atom. The space group is P4/mmm. The calculation puts the uncorrected formation energy at 9.28 eV per formula unit. Its energy above the most stable polymorph in this dataset is 1423 meV per atom.

```
SbMoP2S
1.0
4.939 0.000 0.000
0.000 4.939 0.000
0.000 0.000 5.210
Sb Mo S P
1 1 1 2
Direct
0.000 0.000 0.000 Sb
0.000 0.000 0.500 Mo
0.500 0.500 0.500 S
0.000 0.500 0.000 P
0.500 0.000 0.000 P
```


No. 9
A plane-wave DFT calculation with PBE-GGA was carried out for an optimized crystal structure of SbMoP2S.

## Properties
Its volume is 21.22 Å³/atom. The space group is P4/mmm. The calculation puts the uncorrected formation energy at 2.16 eV per formula unit. Its energy above the most stable polymorph in this dataset is 0 meV per atom.

```
SbMoP2S
1.0
-4.680 0.876 1.030
0.154 -3.341 3.542
1.233 3.153 2.919
Sb Mo S P
1 1 1 2
Direct
0.500 0.500 0.500 Sb
0.000 0.000 0.000 Mo
0.000 0.000 0.500 S
0.000 0.500 0.000 P
0.500 0.000 0.000 P
```


No. 10
A plane-wave DFT calculation with PBE-GGA was carried out for an optimized crystal structure of SbMoPS2.

## Properties
Its volume is 24.69 Å³/atom. The space group is P4/mmm. The calculation puts the uncorrected formation energy at 6.07 eV per formula unit. Its energy above the most stable polymorph in this dataset is 925 meV per atom.

```
SbMoPS2
1.0
4.927 0.000 0.000
0.000 4.927 0.000
0.000 0.000 5.084
Sb Mo S P
1 1 2 1
Direct
0.000 0.000 0.000 Sb
0.500 0.500 0.500 Mo
0.000 0.500 0.000 S
0.500 0.000 0.000 S
0.000 0.000 0.500 P
```


No. 11
A plane-wave DFT calculation with PBE-GGA was carried out for an optimized crystal structure of SbMoPS2.

## Properties
Its volume is 21.24 Å³/atom. The space group is P4/mmm. The calculation puts the uncorrected formation energy at 1.44 eV per formula unit. Its energy above the most stable polymorph in this dataset is 0 meV per atom.

```
SbMoPS2
1.0
-0.966 -4.099 -1.785
2.833 0.851 -3.488
3.838 -2.045 2.619
Sb Mo S P
1 1 2 1
Direct
0.500 0.500 0.500 Sb
0.000 0.000 0.000 Mo
0.000 0.500 0.000 S
0.500 0.000 0.000 S
0.000 0.000 0.500 P
```


No. 12
A plane-wave DFT calculation with PBE-GGA was carried out for an optimized crystal structure of MoPSeS2.

## Properties
Its volume is 20.75 Å³/atom. The space group is P4/mmm. The calculation puts the uncorrected formation energy at 1.96 eV per formula unit. Its energy above the most stable polymorph in this dataset is 0 meV per atom.

```
MoPSeS2
1.0
-2.210 0.541 -3.933
3.302 -2.247 -2.165
-2.438 -4.327 0.774
P Mo S Se
1 1 2 1
Direct
0.000 0.000 0.500 P
0.000 0.000 0.000 Mo
0.000 0.500 0.000 S
0.500 0.000 0.000 S
0.500 0.500 0.500 Se
```


No. 13
A plane-wave DFT calculation with PBE-GGA was carried out for an optimized crystal structure of MoPSeS2.

## Properties
Its volume is 20.92 Å³/atom. The space group is P4/mmm. The calculation puts the uncorrected formation energy at 6.08 eV per formula unit. Its energy above the most stable polymorph in this dataset is 825 meV per atom.

```
MoPSeS2
1.0
4.683 0.000 0.000
0.000 4.683 0.000
0.000 0.000 4.770
P Mo S Se
1 1 2 1
Direct
0.000 0.000 0.500 P
0.500 0.500 0.500 Mo
0.000 0.500 0.000 S
0.500 0.000 0.000 S
0.000 0.000 0.000 Se
```


No. 14
A plane-wave DFT calculation with PBE-GGA was carried out for an optimized crystal structure of SiMoP2S.

## Properties
Its volume is 20.69 Å³/atom. The space group is P4/mmm. The calculation puts the uncorrected formation energy at 3.51 eV per formula unit. Its energy above the most stable polymorph in this dataset is 0 meV per atom.

```
SiMoP2S
1.0
4.789 0.000 0.000
0.000 4.789 0.000
0.000 0.000 4.510
P Mo Si S
2 1 1 1
Direct
0.000 0.500 0.000 P
0.500 0.000 0.000 P
0.000 0.000 0.000 Mo
0.500 0.500 0.500 Si
0.000 0.000 0.500 S
```


No. 15
A plane-wave DFT calculation with PBE-GGA was carried out for an optimized crystal structure of SiMoPS2.

## Properties
Its volume is 20.81 Å³/atom. The space group is P4/mmm. The calculation puts the uncorrected formation energy at 2.74 eV per formula unit. Its energy above the most stable polymorph in this dataset is 0 meV per atom.

```
SiMoPS2
1.0
-4.168 -1.234 1.400
0.585 -4.117 -1.888
1.936 -1.685 4.276
P Mo Si S
1 1 1 2
Direct
0.000 0.000 0.500 P
0.000 0.000 0.000 Mo
0.500 0.500 0.500 Si
0.000 0.500 0.000 S
0.500 0.000 0.000 S
```


No. 16
A plane-wave DFT calculation with PBE-GGA was carried out for an optimized crystal structure of SiMoP2S.

## Properties
Its volume is 17.62 Å³/atom. The space group is P4/mmm. The calculation puts the uncorrected formation energy at 4.36 eV per formula unit. Its energy above the most stable polymorph in this dataset is 170 meV per atom.

```
SiMoP2S
1.0
-1.147 1.723 3.926
3.172 -2.393 1.977
2.908 3.343 -0.618
P Mo Si S
2 1 1 1
Direct
0.000 0.500 0.000 P
0.500 0.000 0.000 P
0.500 0.500 0.500 Mo
0.000 0.000 0.000 Si
0.000 0.000 0.500 S
```


No. 17
A plane-wave DFT calculation with PBE-GGA was carried out for an optimized crystal structure of SiMoPS2.

## Properties
Its volume is 17.74 Å³/atom. The space group is P4/mmm. The calculation puts the uncorrected formation energy at 3.70 eV per formula unit. Its energy above the most stable polymorph in this dataset is 192 meV per atom.

```
SiMoPS2
1.0
-3.965 -0.926 -1.766
1.978 -1.331 -3.743
0.255 -4.191 1.626
P Mo Si S
1 1 1 2
Direct
0.000 0.000 0.500 P
0.500 0.500 0.500 Mo
0.000 0.000 0.000 Si
0.000 0.500 0.000 S
0.500 0.000 0.000 S
```


No. 18
A plane-wave DFT calculation with PBE-GGA was carried out for an optimized crystal structure of SnMoP2S.

## Properties
Its volume is 24.21 Å³/atom. The space group is P4/mmm. The calculation puts the uncorrected formation energy at 6.97 eV per formula unit. Its energy above the most stable polymorph in this dataset is 1117 meV per atom.

```
SnMoP2S
1.0
4.949 0.000 0.000
0.000 4.949 0.000
0.000 0.000 4.944
S P Mo Sn
1 2 1 1
Direct
0.000 0.000 0.500 S
0.000 0.500 0.000 P
0.500 0.000 0.000 P
0.500 0.500 0.500 Mo
0.000 0.000 0.000 Sn
```


No. 19
A plane-wave DFT calculation with PBE-GGA was carried out for an optimized crystal structure of SnMoP2S.

## Properties
Its volume is 21.45 Å³/atom. The space group is P4/mmm. The calculation puts the uncorrected formation energy at 1.38 eV per formula unit. Its energy above the most stable polymorph in this dataset is 0 meV per atom.

```
SnMoP2S
1.0
-1.545 -0.341 -4.449
-2.305 -3.970 1.105
-3.893 2.581 1.154
S P Mo Sn
1 2 1 1
Direct
0.000 0.000 0.500 S
0.000 0.500 0.000 P
0.500 0.000 0.000 P
0.000 0.000 0.000 Mo
0.500 0.500 0.500 Sn
```


No. 20
A plane-wave DFT calculation with PBE-GGA was carried out for an optimized crystal structure of SrMoP2S8.

## Properties
Its volume is 21.46 Å³/atom. The space group is R-3. The calculation puts the uncorrected formation energy at -6.25 eV per formula unit.

```
SrMoP2S8
1.0
5.916 0.000 0.000
2.958 5.123 0.000
2.958 1.708 8.498
Sr Mo P S
1 1 2 8
Direct
0.500 0.500 0.500 Sr
0.000 0.000 0.000 Mo
0.254 0.254 0.237 P
0.746 0.746 0.763 P
0.176 0.176 0.473 S
0.613 0.285 0.167 S
0.824 0.824 0.527 S
0.935 0.613 0.167 S
0.065 0.387 0.833 S
0.285 0.935 0.167 S
0.715 0.065 0.833 S
0.387 0.715 0.833 S
```